1.
VASP calculation (GGA-PBE) on an optimized crystal structure of Ce2SmY3As6.

Results
As for the formation energy: -146.0 kJ per mole of atoms.

abc: 7.2285 12.5179 7.2123
angles: 90.00 109.51 90.00
Space group C2/m (No. 12)
One atom of each set of equivalent atoms:
1 Ce 0.0000 0.1668 0.0000 (multiplicity 4)
2 Sm 0.0000 0.5000 0.0000 (multiplicity 2)
3 Y 0.0000 0.0000 0.5000 (multiplicity 2)
4 Y 0.0000 0.3338 0.5000 (multiplicity 4)
5 As 0.2479 0.1676 0.7465 (multiplicity 8)
6 As 0.2496 0.0000 0.2542 (multiplicity 4)



2.
VASP calculation (GGA-PBE) on an optimized crystal structure of LaIrRu2.

Results
For the energy above the most stable polymorph in this dataset, the calculation gives 0.052 eV/atom. As for the formation energy: 18.6 kJ per mole of atoms.

abc: 4.1503 4.1503 4.1047
angles: 90.00 90.00 90.00
Space group P4/mmm (No. 123)
One atom of each set of equivalent atoms:
1 La 0.0000 0.0000 0.0000 (multiplicity 1)
2 Ir 0.5000 0.5000 0.0000 (multiplicity 1)
3 Ru 0.0000 0.5000 0.5000 (multiplicity 2)



3.
VASP calculation (GGA-PBE) on an optimized crystal structure of TiNi6Ir.

Results
As for the formation energy: 39.3 kJ per mole of atoms.

abc: 4.6764 4.6764 19.0038
angles: 90.00 90.00 120.00
Space group R-3m (No. 166, hexagonal axes)
One atom of each set of equivalent atoms:
1 Ti 0.0000 0.0000 0.0000 (multiplicity 3)
2 Ni 0.0052 0.5026 0.4366 (multiplicity 18)
3 Ir 0.0000 0.0000 0.5000 (multiplicity 3)



4.
VASP calculation (GGA-PBE) on an optimized crystal structure of Dy3SiSn2.

Results
The value obtained for the energy relative to the elements, uncorrected is -640 meV/atom.

abc: 12.3125 4.2749 11.8595
angles: 90.00 90.00 90.00
Space group Pnma (No. 62)
One atom of each set of equivalent atoms:
1 Dy 0.0551 0.2500 0.1200 (multiplicity 4)
2 Dy 0.1141 0.7500 0.5470 (multiplicity 4)
3 Dy 0.2381 0.2500 0.7816 (multiplicity 4)
4 Si 0.1256 0.2500 0.3710 (multiplicity 4)
5 Sn 0.0035 0.2500 0.7027 (multiplicity 4)
6 Sn 0.1907 0.7500 0.9975 (multiplicity 4)



5.
VASP calculation (GGA-PBE) on an optimized crystal structure of Cs2K4Br.

Results
The value obtained for the energy relative to the elements, uncorrected is -417 meV/atom.

abc: 6.5908 6.5908 26.1285
angles: 90.00 90.00 90.00
Space group I4/mmm (No. 139)
One atom of each set of equivalent atoms:
1 Cs 0.0000 0.0000 0.1836 (multiplicity 4)
2 K 0.0000 0.0000 0.3726 (multiplicity 4)
3 K 0.0000 0.5000 0.0000 (multiplicity 4)
4 Br 0.0000 0.0000 0.5000 (multiplicity 2)



6.
VASP calculation (GGA-PBE) on an optimized crystal structure of TbCuNi.

Results
As for the formation energy: -30.8 kJ per mole of atoms.

abc: 4.1545 4.1545 3.5863
angles: 90.00 90.00 120.00
Space group P-6m2 (No. 187)
One atom of each set of equivalent atoms:
1 Tb 0.0000 0.0000 0.0000 (multiplicity 1)
2 Cu 0.3333 0.6667 0.5000 (multiplicity 1)
3 Ni 0.6667 0.3333 0.5000 (multiplicity 1)



7.
VASP calculation (GGA-PBE) on an optimized crystal structure of HgPtSe2.

Results
For the energy above the most stable polymorph in this dataset, the calculation gives 0.721 eV/atom. The value obtained for the energy relative to the elements, uncorrected is 429 meV/atom.

abc: 5.6885 10.4315 2.8512
angles: 90.00 110.39 90.00
Space group C2/m (No. 12)
One atom of each set of equivalent atoms:
1 Hg 0.0000 0.0000 0.0000 (multiplicity 2)
2 Pt 0.0000 0.5000 0.0000 (multiplicity 2)
3 Se 0.2500 0.2500 0.5000 (multiplicity 4)



| no. | N(E_F) (states/eV/atom) |
| --- | --- |
| 1 | 0.979 |
| 2 | 1.365 |
| 3 | 1.031 |
| 4 | 0.757 |
| 5 | 0.785 |
| 6 | 0.579 |
| 7 | 0.559 |